# PBE TlAu2, optimized geometry
data_TlAu2
_space_group_name_H-M_alt 'P -6 2 m'
_space_group_IT_number 189
_space_group_name_Hall 'P -6 -2'
_cell_length_a 7.2919
_cell_length_b 7.2919
_cell_length_c 4.7485
_cell_angle_alpha 90.00
_cell_angle_beta 90.00
_cell_angle_gamma 120.00
loop_
_atom_site_label
_atom_site_type_symbol
_atom_site_fract_x
_atom_site_fract_y
_atom_site_fract_z
Tl1 Tl 0.0000 0.0000 0.0000
Tl2 Tl 0.3333 0.6667 0.5000
Au1 Au 0.0000 0.2308 0.5000
Au2 Au 0.0000 0.4350 0.0000
# raw total energy	-2.8264	eV per atom
# DOS(E_F)	2.71	states/eV/cell
# M_tot	0.0	μB per cell
# density	13.63	g/cm³
# E_form	0.44	eV/f.u.
# calculated volume	24.30	Å³ per atom
# relative energy among the computed polymorphs	145	meV/atom